A relaxed structure of LuTlFeCu. Source: OQMD, functional PBE.

```
data_LuTlFeCu
_symmetry_space_group_name_H-M 'F -4 3 m'
_symmetry_Int_Tables_number 216
_symmetry_space_group_name_Hall 'F -4 2 3'
_cell_length_a 6.679
_cell_length_b 6.679
_cell_length_c 6.679
_cell_angle_alpha 90.00
_cell_angle_beta 90.00
_cell_angle_gamma 90.00
loop_
_atom_site_label
_atom_site_type_symbol
_atom_site_fract_x
_atom_site_fract_y
_atom_site_fract_z
_atom_site_occupancy
Lu1 Lu 0.000 0.000 0.000 1
Tl1 Tl 0.250 0.250 0.250 1
Fe1 Fe 0.250 0.250 0.750 1
Cu1 Cu 0.000 0.000 0.500 1
```

Results
The spin magnetization comes out at 10.02 μB/cell. For the energy relative to the lowest polymorph listed for this composition, the calculation gives 159 meV/atom. Its total energy is -4.433 eV per atom.

A relaxed structure of CdGeSb. Source: OQMD, functional PBE.

```
data_CdGeSb
_symmetry_space_group_name_H-M 'P n m a'
_symmetry_Int_Tables_number 62
_cell_length_a 6.991
_cell_length_b 4.510
_cell_length_c 9.467
_cell_angle_alpha 90.00
_cell_angle_beta 90.00
_cell_angle_gamma 90.00
loop_
_symmetry_equiv_pos_as_xyz
'x,y,z'
'-x,-y,-z'
'-x+1/2,-y,z+1/2'
'x+1/2,y,-z+1/2'
'x+1/2,-y+1/2,-z+1/2'
'-x+1/2,y+1/2,z+1/2'
'-x,y+1/2,-z'
'x,-y+1/2,z'
loop_
_atom_site_label
_atom_site_type_symbol
_atom_site_fract_x
_atom_site_fract_y
_atom_site_fract_z
_atom_site_occupancy
Cd1 Cd 0.050 0.250 0.223 1
Ge1 Ge 0.144 0.250 0.610 1
Sb1 Sb 0.235 0.250 0.926 1
```

Results
For the energy relative to the lowest polymorph listed for this composition, the calculation gives 0 meV/atom. Its total energy is -3.031 eV per atom.

- Among the records above, which one has the lowest total energy?
  LuTlFeCu

- Which value of total energy does entry 1 give?
  -4.433 eV per atom

- What is the total energy in the first record?
  -4.433 eV per atom